VASP calculation (PBE) on crystalline MoPd2Pt at its relaxed geometry.

Unit cell a=3.939 b=3.939 c=4.003 alpha=90.00 beta=90.00 gamma=90.00
Space group P4/mmm (No. 123)
Symmetry-distinct sites (fractional):
Mo: 0.000 0.000 0.000
Pd: 0.000 0.500 0.500
Pt: 0.500 0.500 0.000

Values from the calculation:
For the density of states at the Fermi level, the calculation gives 0.8124 states/eV/atom. Its total magnetization is 2.033 μB per formula unit. As for the energy of formation from the pure elements: -0.03 eV/atom. Its energy above the lowest structure with this stoichiometry is 0.114 eV/atom.